Entry from Alexandria: a relaxed SrNd2Mg9 crystal (PBE).

Uncorrected energy (eV/atom): -2.203
Formation energy from the elements (eV/atom): -0.072

extended XYZ file:
```
12
Lattice="3.088 1.783 10.066 -3.088 1.783 10.066 0.000 -3.565 10.066" Properties=species:S:1:pos:R:3 pbc="T T T"
Sr 0.000 0.000 0.000
Nd 0.000 0.000 4.452
Nd 0.000 0.000 25.747
Mg -1.559 -0.900 12.625
Mg 0.000 0.000 10.095
Mg 0.000 -1.801 17.573
Mg -1.559 0.900 17.573
Mg 0.000 0.000 15.099
Mg 1.559 -0.900 12.625
Mg 0.000 1.801 12.625
Mg 0.000 0.000 20.104
Mg 1.559 0.900 17.573
```

=====

Entry from Alexandria: a relaxed Sr2NdMg9 crystal (PBE).

Uncorrected energy (eV/atom): -1.929
Formation energy from the elements (eV/atom): -0.056

extended XYZ file:
```
12
Lattice="3.122 1.802 10.131 -3.122 1.802 10.131 0.000 -3.605 10.131" Properties=species:S:1:pos:R:3 pbc="T T T"
Sr 0.000 0.000 4.289
Sr 0.000 0.000 26.105
Nd 0.000 0.000 0.000
Mg -1.566 -0.904 12.572
Mg 0.000 0.000 10.139
Mg 0.000 -1.808 17.821
Mg -1.566 0.904 17.821
Mg 0.000 0.000 15.197
Mg 1.566 -0.904 12.572
Mg 0.000 1.808 12.572
Mg 0.000 0.000 20.255
Mg 1.566 0.904 17.821
```

=====

| no. | spin magnetization (μB per formula unit) |
| --- | --- |
| 1 | 0.00 |
| 2 | 0.00 |